# 1
Material: LaYSc2
Method: DFT, PBE-GGA
State: relaxed

Cell and atoms, written as POSCAR:
```
LaYSc2
1.0
3.598 0.000 0.000
0.000 3.598 0.000
0.000 0.000 9.020
La Y Sc
1 1 2
Direct
0.000 0.000 0.000
0.000 0.000 0.500
0.500 0.500 0.254
0.500 0.500 0.746
```

Output
- Density of states at the Fermi level: 6.1 states/eV/f.u.
- Symmetry: P4/mmm
- Polymorph energy (0 for the lowest one): 0.014 eV per atom
- Uncorrected energy: -5.95 eV per atom
- Crystal system: tetragonal
- Formation energy from the elements: 66 meV/atom


# 2
Material: AlIrO2F
Method: DFT, PBE-GGA
State: relaxed

Cell and atoms, written as POSCAR:
```
AlIrO2F
1.0
3.692 0.000 0.000
0.000 3.692 0.000
0.000 0.000 6.771
Al Ir O F
1 1 2 1
Direct
0.000 0.000 0.000
0.500 0.500 0.500
0.000 0.500 0.500
0.500 0.000 0.500
0.500 0.500 0.000
```

Output
- Density of states at the Fermi level: 4.4 states/eV/f.u.
- Symmetry: P4/mmm
- Formation energy without anion corrections: -0.6458 eV per atom
- Uncorrected energy: -5.52 eV per atom
- Crystal system: tetragonal


# 3
Material: ZrScPt3
Method: DFT, PBE-GGA
State: relaxed

Cell and atoms, written as POSCAR:
```
ZrScPt3
1.0
4.756 0.000 0.000
0.000 4.756 0.000
0.000 0.000 4.756
Zr Sc Pt
1 1 3
Direct
0.000 0.000 0.000
0.500 0.500 0.500
0.000 0.500 0.500
0.500 0.000 0.500
0.500 0.500 0.000
```

Output
- Density of states at the Fermi level: 3.9 states/eV/f.u.
- Symmetry: Pm-3m
- Polymorph energy (0 for the lowest one): 0.951 eV per atom
- Uncorrected energy: -6.47 eV per atom
- Crystal system: cubic
- Formation energy from the elements: 127 meV/atom


# 4
Material: GaFe2Re
Method: DFT, PBE-GGA
State: relaxed

Cell and atoms, written as POSCAR:
```
GaFe2Re
1.0
2.702 0.000 0.000
-1.351 2.340 0.000
0.000 0.000 24.993
Ga Fe Re
3 6 3
Direct
0.000 0.000 0.000
0.333 0.667 0.667
0.667 0.333 0.333
0.000 0.000 0.251
0.000 0.000 0.749
0.333 0.667 0.416
0.333 0.667 0.918
0.667 0.333 0.082
0.667 0.333 0.584
0.000 0.000 0.500
0.333 0.667 0.167
0.667 0.333 0.833
```

Output
- Density of states at the Fermi level: 3.0 states/eV/f.u.
- Symmetry: R-3m
- Uncorrected energy: -8.03 eV per atom
- Crystal system: trigonal
- Formation energy from the elements: 74 meV/atom